[1]
Compound: Mg2ZrIn
Source: Alexandria via LeMat-Bulk
Functional: PBE
Structure: relaxed

Calculated values
Its size of the total moment is 0.000 Bohr magnetons per cell. The volume is 89 Å³/f.u. The calculation puts the formation energy at -0.081 eV per atom.

a b c (Å): 3.278 3.278 8.308
angles (deg): 90.00 90.00 90.00
Space group P4mm (No. 99)
Unique sites:
1 Mg 0.000 0.000 0.000 [1 per cell]
2 Mg 0.500 0.500 0.248 [1 per cell]
3 Zr 0.000 0.000 0.499 [1 per cell]
4 In 0.500 0.500 0.753 [1 per cell]

[2]
Compound: MgZrIn
Source: Alexandria via LeMat-Bulk
Functional: PBE
Structure: relaxed

Calculated values
Its size of the total moment is 0.000 Bohr magnetons per cell. The volume is 77 Å³/f.u. The calculation puts the formation energy at 0.171 eV per atom.

a b c (Å): 6.747 6.747 6.747
angles (deg): 90.00 90.00 90.00
Space group F-43m (No. 216)
Unique sites:
1 Mg 0.000 0.000 0.000 [4 per cell]
2 Zr 0.000 0.000 0.500 [4 per cell]
3 In 0.250 0.250 0.250 [4 per cell]

[3]
Compound: MgZrIn4
Source: Alexandria via LeMat-Bulk
Functional: PBE
Structure: relaxed

Calculated values
Its size of the total moment is 5.100 Bohr magnetons per cell. The volume is 145 Å³/f.u. The calculation puts the formation energy at 0.145 eV per atom.

a b c (Å): 8.341 8.341 8.341
angles (deg): 90.00 90.00 90.00
Space group F-43m (No. 216)
Unique sites:
1 Mg 0.000 0.000 0.000 [4 per cell]
2 Zr 0.250 0.250 0.750 [4 per cell]
3 In 0.125 0.125 0.375 [16 per cell]

[4]
Compound: MgZr2In5
Source: Alexandria via LeMat-Bulk
Functional: PBE
Structure: relaxed

Calculated values
Its size of the total moment is 0.000 Bohr magnetons per cell. The volume is 178 Å³/f.u. The calculation puts the formation energy at -0.240 eV per atom.

a b c (Å): 6.291 12.613 4.488
angles (deg): 90.00 90.00 90.00
Space group Pbam (No. 55)
Unique sites:
1 Mg 0.000 0.000 0.000 [2 per cell]
2 Zr 0.233 0.370 0.500 [4 per cell]
3 In 0.000 0.500 0.000 [2 per cell]
4 In 0.012 0.754 0.000 [4 per cell]
5 In 0.233 0.118 0.500 [4 per cell]

[5]
Compound: MgZrIn2
Source: Alexandria via LeMat-Bulk
Functional: PBE
Structure: relaxed

Calculated values
Its size of the total moment is 0.000 Bohr magnetons per cell. The volume is 90 Å³/f.u. The calculation puts the formation energy at -0.171 eV per atom.

a b c (Å): 4.254 4.254 9.989
angles (deg): 90.00 90.00 90.00
Space group I-4m2 (No. 119)
Unique sites:
1 Mg 0.000 0.000 0.000 [2 per cell]
2 Zr 0.000 0.500 0.250 [2 per cell]
3 In 0.000 0.000 0.500 [2 per cell]
4 In 0.000 0.500 0.750 [2 per cell]

[6]
Compound: Mg4ZrIn
Source: Alexandria via LeMat-Bulk
Functional: PBE
Structure: relaxed

Calculated values
Its size of the total moment is 5.405 Bohr magnetons per cell. The volume is 137 Å³/f.u. The calculation puts the formation energy at 0.177 eV per atom. As for the distance to the lowest polymorph of the same formula: 208 meV/atom.

a b c (Å): 8.190 8.190 8.190
angles (deg): 90.00 90.00 90.00
Space group F-43m (No. 216)
Unique sites:
1 Mg 0.124 0.124 0.124 [16 per cell]
2 Zr 0.250 0.250 0.750 [4 per cell]
3 In 0.000 0.000 0.500 [4 per cell]

[7]
Compound: MgZrIn2
Source: Alexandria via LeMat-Bulk
Functional: PBE
Structure: relaxed

Calculated values
Its size of the total moment is 0.000 Bohr magnetons per cell. The volume is 90 Å³/f.u. The calculation puts the formation energy at -0.148 eV per atom.

a b c (Å): 3.210 3.210 8.744
angles (deg): 90.00 90.00 90.00
Space group P4/mmm (No. 123)
Unique sites:
1 Mg 0.000 0.000 0.000 [1 per cell]
2 Zr 0.000 0.000 0.500 [1 per cell]
3 In 0.500 0.500 0.251 [2 per cell]

[8]
Compound: MgZrIn2
Source: Alexandria via LeMat-Bulk
Functional: PBE
Structure: relaxed

Calculated values
Its size of the total moment is 0.000 Bohr magnetons per cell. The volume is 96 Å³/f.u. The calculation puts the formation energy at 0.101 eV per atom.

a b c (Å): 7.836 7.836 6.265
angles (deg): 90.00 90.00 90.00
Space group I-42d (No. 122)
Unique sites:
1 Mg 0.000 0.000 0.000 [4 per cell]
2 Zr 0.000 0.000 0.500 [4 per cell]
3 In 0.233 0.250 0.125 [8 per cell]